[1]
Compound: Ti3NbCo
Source: the Alexandria database
Functional: PBE-GGA
Structure: relaxed

a = 4.463 Å, b = 4.463 Å, c = 4.463 Å
α = 90.00°, β = 90.00°, γ = 90.00°
Fractional coordinates of all 5 atoms:
1 Ti 0.000 0.000 0.500
2 Ti 0.000 0.500 0.000
3 Ti 0.500 0.000 0.000
4 Nb 0.500 0.500 0.500
5 Co 0.000 0.000 0.000

Crystal system   cubic
Symmetry   Pm-3m, No. 221
Formation energy from the elements   1.8 eV/f.u.
VASP energy   -7.82 eV/atom

***

[2]
Compound: Ti2NbCo
Source: the Alexandria database
Functional: PBE-GGA
Structure: relaxed

a = 4.399 Å, b = 4.399 Å, c = 4.399 Å
α = 60.00°, β = 60.00°, γ = 60.00°
Fractional coordinates of all 4 atoms:
1 Ti 0.250 0.250 0.250
2 Ti 0.750 0.750 0.750
3 Nb 0.000 0.000 0.000
4 Co 0.500 0.500 0.500

Crystal system   cubic
Symmetry   Fm-3m, No. 225
Formation energy from the elements   -0.3 eV/f.u.
VASP energy   -8.33 eV/atom